(1)
{
  "formula": "Zn2CrOs",
  "functional": "PBE-GGA",
  "state": "relaxed",
  "lattice_angstrom": [[-1.553, 2.095, 4.250], [1.553, -2.095, 4.250], [1.553, 2.095, -4.250]],
  "species": ["Zn", "Zn", "Cr", "Os"],
  "frac_coords": [[0.249, 0.249, 0.000], [0.751, 0.751, 0.000], [0.000, 0.500, 0.500], [0.500, 0.000, 0.500]],
  "de_polymorph_mev_per_atom": 152,
  "sg": "Immm, No. 71"
}

(2)
{
  "formula": "ZnCr2Os",
  "functional": "PBE-GGA",
  "state": "relaxed",
  "lattice_angstrom": [[2.641, 0.000, 0.000], [0.000, 3.854, 0.000], [-0.008, 0.000, 5.125]],
  "species": ["Zn", "Cr", "Cr", "Os"],
  "frac_coords": [[0.000, 0.000, 0.000], [0.500, 0.500, 0.264], [0.500, 0.500, 0.736], [0.000, 0.000, 0.500]],
  "sg": "P2/m, No. 10"
}

(3)
{
  "formula": "Zn2CrOs",
  "functional": "PBE-GGA",
  "state": "relaxed",
  "lattice_angstrom": [[2.564, -4.350, 0.000], [2.564, 4.350, 0.000], [-0.875, 0.000, 2.447]],
  "species": ["Zn", "Zn", "Cr", "Os"],
  "frac_coords": [[0.000, 0.500, 0.000], [0.500, 0.000, 0.000], [0.000, 0.000, 0.500], [0.500, 0.500, 0.500]],
  "de_polymorph_mev_per_atom": 224,
  "sg": "C2/m, No. 12"
}

| no. | uncorrected energy (eV for the cell shown) | formation energy (eV/atom) |
| --- | --- | --- |
| 1 | -22.6 | 0.20 |
| 2 | -31.0 | 0.18 |
| 3 | -22.3 | 0.28 |